(1)
Density functional theory data (PBE) for an optimized crystal structure of YHo2PaSe4.

The structure in POSCAR format:
```
YHo2PaSe4
1.0
7.065 0.000 0.000
0.000 4.017 0.000
-2.280 0.000 6.695
Y Ho Pa Se
1 2 1 4
Cartesian
0.000 0.000 0.000
-1.140 2.009 3.347
2.392 0.000 3.347
3.532 2.009 0.000
0.044 0.000 4.986
1.189 2.009 1.698
3.595 2.009 4.997
4.740 0.000 1.709
```

Output
VASP energy: -51.74 eV per formula unit
SG: P2/m
DOS(E_F): 0.865 states/eV per atom

---

(2)
Density functional theory data (PBE) for an optimized crystal structure of HoPaSi.

The structure in POSCAR format:
```
HoPaSi
1.0
4.832 0.000 0.000
-2.416 4.184 0.000
0.000 0.000 3.504
Ho Pa Si
1 1 1
Cartesian
0.000 0.000 0.000
0.000 2.790 1.869
2.416 1.395 0.818
```

Output
Distance to the lowest polymorph of the same formula: 280.2 meV/atom
SG: P3m1
DOS(E_F): 1.614 states/eV per atom

---

(3)
Density functional theory data (PBE) for an optimized crystal structure of HoPaSi4.

The structure in POSCAR format:
```
HoPaSi4
1.0
8.414 0.000 0.000
0.000 14.385 0.000
0.000 0.000 3.934
Ho Pa Si
4 4 16
Cartesian
1.115 1.206 0.000
3.092 8.398 0.000
5.322 5.987 0.000
7.299 13.179 0.000
0.792 5.290 0.000
3.415 12.482 0.000
4.999 1.903 0.000
7.623 9.095 0.000
0.330 3.114 1.967
1.063 7.631 1.967
1.251 13.231 1.967
1.560 9.937 1.967
2.647 2.744 1.967
2.957 6.039 1.967
3.144 0.438 1.967
3.878 10.306 1.967
4.537 4.079 1.967
5.270 13.947 1.967
5.458 8.346 1.967
5.767 11.641 1.967
6.854 4.448 1.967
7.164 1.154 1.967
7.352 6.754 1.967
8.085 11.271 1.967
```

Output
Distance to the lowest polymorph of the same formula: 0.0 meV/atom
SG: Pbam
DOS(E_F): 0.734 states/eV per atom

---

(4)
Density functional theory data (PBE) for an optimized crystal structure of HoPaSi.

The structure in POSCAR format:
```
HoPaSi
1.0
2.128 -5.382 0.000
2.128 5.382 0.000
0.000 0.000 6.194
Ho Pa Si
2 2 2
Cartesian
0.000 0.000 0.000
0.000 0.000 3.097
2.128 2.068 4.646
2.128 -2.068 1.549
2.128 1.328 1.549
2.128 -1.328 4.646
```

Output
Distance to the lowest polymorph of the same formula: 0.0 meV/atom
SG: Cmcm
DOS(E_F): 1.755 states/eV per atom